# 1
Compound: YTe2PdN
Source: the Alexandria database
Functional: PBE
Structure: optimized geometry

Unit cell a=5.4652 b=5.4652 c=3.9252 alpha=90.00 beta=90.00 gamma=90.00
Atoms (fractional coordinates):
Y: 0.0000 0.0000 0.0000
Te: 0.0000 0.5000 0.5000
Te: 0.5000 0.0000 0.5000
Pd: 0.5000 0.5000 0.5000
N: 0.5000 0.5000 0.0000

- M_tot: 1.07 Bohr magnetons per cell

# 2
Compound: YTe2PdN
Source: the Alexandria database
Functional: PBE
Structure: optimized geometry

Unit cell a=5.9854 b=5.9854 c=3.9952 alpha=90.00 beta=90.00 gamma=90.00
Atoms (fractional coordinates):
Y: 0.0000 0.0000 0.0000
Te: 0.0000 0.5000 0.0000
Te: 0.5000 0.0000 0.0000
Pd: 0.5000 0.5000 0.5000
N: 0.0000 0.0000 0.5000

- M_tot: 0.15 Bohr magnetons per cell

# 3
Compound: ZnTePdN2
Source: the Alexandria database
Functional: PBE
Structure: optimized geometry

Unit cell a=4.0069 b=4.0069 c=5.8657 alpha=90.00 beta=90.00 gamma=90.00
Atoms (fractional coordinates):
Zn: 0.0000 0.0000 0.0000
Te: 0.5000 0.5000 0.0000
Pd: 0.5000 0.5000 0.5000
N: 0.0000 0.5000 0.5000
N: 0.5000 0.0000 0.5000

- M_tot: 3.50 Bohr magnetons per cell

Number 1: polymorph energy (0 for the lowest one) 0.00 kJ per mole of atoms, ΔE_f (raw) 0.010 eV/atom. Number 2: polymorph energy (0 for the lowest one) 49.23 kJ per mole of atoms, ΔE_f (raw) 0.520 eV/atom. Number 3: polymorph energy (0 for the lowest one) 0.00 kJ per mole of atoms, ΔE_f (raw) 1.266 eV/atom.